Below is an optimized crystal structure of CaBeAg2Au5, with properties calculated at the PBE-GGA level.

```
CaBeAg2Au5
1.0
-2.299 2.894 6.996
2.299 -2.894 6.996
2.299 2.894 -6.996
Ca Be Ag Au
1 1 2 5
direct
0.000 0.000 0.000 Ca
0.500 0.500 0.000 Be
0.300 0.800 0.500 Ag
0.700 0.200 0.500 Ag
0.114 0.373 0.741 Au
0.368 0.627 0.741 Au
0.500 0.000 0.500 Au
0.632 0.373 0.259 Au
0.886 0.627 0.259 Au
```

raw total energy	-3.269	eV/atom
volume	186.2	Å³ per cell
spin magnetization	0.00	μB/cell

=====

Below is an optimized crystal structure of Ca2Be3AgAu12, with properties calculated at the PBE-GGA level.

```
Ca2Be3AgAu12
1.0
4.204 2.427 6.101
-4.204 2.427 6.101
0.000 -4.855 6.101
Ca Be Ag Au
2 3 1 12
direct
0.101 0.101 0.101 Ca
0.899 0.899 0.899 Ca
0.000 0.500 0.500 Be
0.500 0.000 0.500 Be
0.500 0.500 0.000 Be
0.500 0.500 0.500 Ag
0.106 0.635 0.635 Au
0.160 0.160 0.602 Au
0.160 0.602 0.160 Au
0.365 0.365 0.894 Au
0.365 0.894 0.365 Au
0.398 0.840 0.840 Au
0.602 0.160 0.160 Au
0.635 0.106 0.635 Au
0.635 0.635 0.106 Au
0.840 0.398 0.840 Au
0.840 0.840 0.398 Au
0.894 0.365 0.365 Au
```

raw total energy	-3.300	eV/atom
volume	373.6	Å³ per cell
spin magnetization	0.00	μB/cell

=====

Below is an optimized crystal structure of Be2CdAg2Au5, with properties calculated at the PBE-GGA level.

```
Be2CdAg2Au5
1.0
9.820 0.000 0.000
0.000 9.820 0.000
0.000 0.000 3.481
Be Cd Ag Au
4 2 4 10
direct
0.124 0.376 0.000 Be
0.376 0.876 0.000 Be
0.624 0.124 0.000 Be
0.876 0.624 0.000 Be
0.000 0.000 0.000 Cd
0.500 0.500 0.000 Cd
0.175 0.675 0.000 Ag
0.325 0.175 0.000 Ag
0.675 0.825 0.000 Ag
0.825 0.325 0.000 Ag
0.000 0.500 0.500 Au
0.074 0.214 0.500 Au
0.214 0.926 0.500 Au
0.286 0.426 0.500 Au
0.426 0.714 0.500 Au
0.500 0.000 0.500 Au
0.574 0.286 0.500 Au
0.714 0.574 0.500 Au
0.786 0.074 0.500 Au
0.926 0.786 0.500 Au
```

raw total energy	-3.119	eV/atom
volume	335.7	Å³ per cell
spin magnetization	0.00	μB/cell

=====

Below is an optimized crystal structure of Be2Cd2AgAu5, with properties calculated at the PBE-GGA level.

```
Be2Cd2AgAu5
1.0
9.817 0.000 0.000
0.000 9.817 0.000
0.000 0.000 3.510
Be Cd Ag Au
4 4 2 10
direct
0.124 0.376 0.000 Be
0.376 0.876 0.000 Be
0.624 0.124 0.000 Be
0.876 0.624 0.000 Be
0.175 0.675 0.000 Cd
0.325 0.175 0.000 Cd
0.675 0.825 0.000 Cd
0.825 0.325 0.000 Cd
0.000 0.000 0.000 Ag
0.500 0.500 0.000 Ag
0.000 0.500 0.500 Au
0.074 0.211 0.500 Au
0.211 0.926 0.500 Au
0.289 0.426 0.500 Au
0.426 0.711 0.500 Au
0.500 0.000 0.500 Au
0.574 0.289 0.500 Au
0.711 0.574 0.500 Au
0.789 0.074 0.500 Au
0.926 0.789 0.500 Au
```

raw total energy	-2.951	eV/atom
volume	338.2	Å³ per cell
spin magnetization	0.00	μB/cell

=====

> What is the raw total energy in the third record?

-3.119 eV/atom

=====

> Look up the spin magnetization of the first one.

0.00 μB/cell